No. 1
Computed, not measured: a relaxed CsCaCl3 crystal at the GGA-PBE level of DFT.

## Properties
- total magnetic moment (μB per atom) = 0.00
- calculated volume (A^3/atom) = 29.4
- mass density (Mg/m³) = 3.2
- E (eV/atom) = -3.704
- formation energy without anion corrections (eV/atom) = -2.0251
- SG = P6_3/mmc, No. 194

Cell: 5.4586 5.4586 11.3991 Å, 90.00 90.00 120.00°
Closest atoms and distances in Å follow each position.
Fractional coordinates of all 10 atoms:
Cs1 0.3333 0.6667 0.7500  5 Cl 3.15-3.47
Cs2 0.6667 0.3333 0.2500  5 Cl 3.15-3.47
Ca1 0.0000 0.0000 0.0000  2 Cl 2.85
Ca2 0.0000 0.0000 0.5000  2 Cl 2.85
Cl1 0.0000 0.0000 0.2500  2 Ca 2.85, 3 Cs 3.15
Cl2 0.0000 0.0000 0.7500  2 Ca 2.85, 3 Cs 3.15
Cl3 0.3333 0.6667 0.0548  3 Ca 3.21, 3 Cl 3.39, 1 Cs 3.47
Cl4 0.3333 0.6667 0.4452  3 Ca 3.21, 3 Cl 3.39, 1 Cs 3.47
Cl5 0.6667 0.3333 0.5548  3 Ca 3.21, 3 Cl 3.39, 1 Cs 3.47
Cl6 0.6667 0.3333 0.9452  3 Ca 3.21, 3 Cl 3.39, 1 Cs 3.47



No. 2
Computed, not measured: a relaxed CsCaCl3 crystal at the GGA-PBE level of DFT.

## Properties
- total magnetic moment (μB per atom) = 0.02
- calculated volume (A^3/atom) = 35.8
- mass density (Mg/m³) = 2.6
- E (eV/atom) = -3.921
- formation energy without anion corrections (eV/atom) = -2.2424
- SG = C2/m, No. 12

Cell: 19.3127 9.1373 9.1373 Å, 153.35 147.73 32.27°
Closest atoms and distances in Å follow each position.
Fractional coordinates of all 10 atoms:
Cs1 0.3856 0.2148 0.7852  8 Cl 3.53-3.83
Cs2 0.6144 0.7852 0.2148  8 Cl 3.53-3.83
Ca1 0.1657 0.6442 0.3558  6 Cl 2.66-2.84
Ca2 0.8343 0.3558 0.6442  6 Cl 2.66-2.84
Cl1 0.6743 0.3845 0.6155  1 Ca 2.66
Cl2 0.3257 0.6155 0.3845  1 Ca 2.66
Cl3 0.9840 0.3527 0.6473  3 Ca 2.81-2.84
Cl4 0.0160 0.6473 0.3527  3 Ca 2.81-2.84
Cl5 0.3172 0.9388 0.0612  2 Ca 2.79
Cl6 0.6828 0.0612 0.9388  2 Ca 2.79